First-principles (PBE) data for a geometry-optimized YAl2P structure, as listed in the Alexandria database.

Cell lengths 5.7624, 5.7624, 5.7624 Å; angles 140.26, 140.26, 57.46 degrees
Fractional coordinates of all 4 atoms:
Y: 0.7500 0.2500 0.5000
P: 0.2500 0.7500 0.5000
Al: 0.0000 0.0000 0.0000
Al: 0.5000 0.5000 0.0000

Energy of formation from the pure elements, eV per atom: -0.5005

First-principles (PBE) data for a geometry-optimized K5Sb structure, as listed in the Alexandria database.

Cell lengths 7.2931, 7.2931, 6.4383 Å; angles 90.00, 90.00, 120.00 degrees
Fractional coordinates of all 6 atoms:
K: 0.7146 0.0000 0.0000
K: 0.2854 0.2854 0.0000
K: 0.0000 0.7146 0.0000
K: 0.6667 0.3333 0.5000
K: 0.3333 0.6667 0.5000
Sb: 0.0000 0.0000 0.5000

ΔE_f (raw), eV per atom: -0.136

Looking at theoretical density for the records above, in order, we have 3.7 1.8 Mg/m³.
Looking at V for the records above, in order, we have 77.5 296.6 Å³/cell.